Density functional theory data (GGA-PBE) for a relaxed structure of PmNdAlPd.

Values from the calculation:
* size of the total moment: 0.00 μB/atom
* uncorrected energy: -20.7 eV per formula unit
* relative energy among the computed polymorphs: 0 meV/atom
* energy of formation: -550 meV/atom
* symmetry: Amm2

POSCAR file:
```
PmNdAlPd
1.0
4.4524 0.0000 0.0000
0.0000 1.9962 5.7597
0.0000 -1.9962 5.7597
Pm Nd Al Pd
1 1 1 1
Direct
0.0000 0.0000 0.0000 Pm
0.5000 0.7072 0.7072 Nd
0.0000 0.2891 0.2891 Al
0.5000 0.4251 0.4251 Pd
```